Here is crystalline CaVF5 at its relaxed geometry from Alexandria via LeMat-Bulk. Energies are from PBE+U.

Unit cell a=10.2890 b=5.5567 c=7.7852 alpha=69.83 beta=90.00 gamma=90.00
Sites, in units of the cell vectors:
Ca 0.9798 0.4668 0.2558
F 0.6048 0.8784 0.1940
F 0.1125 0.6392 0.9985
F 0.6950 0.1476 0.8388
F 0.1950 0.8524 0.6612
F 0.8635 0.8264 0.1390
F 0.1365 0.1736 0.8610
F 0.8813 0.3929 0.5577
V 0.7471 0.1095 0.0991
F 0.6125 0.3608 0.5015
F 0.1187 0.6071 0.4423
F 0.3813 0.6071 0.9423
V 0.7529 0.1095 0.5991
F 0.3635 0.1736 0.3610
Ca 0.4798 0.5332 0.2442
Ca 0.0202 0.5332 0.7442
F 0.8050 0.1476 0.3388
F 0.3952 0.1216 0.8060
F 0.6365 0.8264 0.6390
F 0.6187 0.3929 0.0577
Ca 0.5202 0.4668 0.7558
F 0.8875 0.3608 0.0015
F 0.3875 0.6392 0.4985
F 0.3050 0.8524 0.1612
V 0.2471 0.8905 0.4009
F 0.1048 0.1216 0.3060
V 0.2529 0.8905 0.9009
F 0.8952 0.8784 0.6940

Properties
M_tot: 8.000 μB/cell
distance to the lowest polymorph of the same formula: 4 kJ/mol of formula units
SG: P2_1/c